w) This record from the Alexandria database describes a relaxed structure of BeHgAs2. The functional is GGA-PBEsol.

a b c (Å): 2.9152 2.9152 29.9815
angles (deg): 90.00 90.00 120.00
With the nearest neighbours (Å) after each atom.
Fractional coordinates of all 12 atoms:
1 Be 0.0000 0.0000 0.0000  6 As 2.47
2 Be 0.3333 0.6667 0.6667  6 As 2.47
3 Be 0.6667 0.3333 0.3333  6 As 2.47
4 Hg 0.0000 0.0000 0.5000  6 Hg 2.92
5 Hg 0.3333 0.6667 0.1667  6 Hg 2.92
6 Hg 0.6667 0.3333 0.8333  6 Hg 2.92
7 As 0.0000 0.0000 0.2730  3 Be 2.47
8 As 0.0000 0.0000 0.7270  3 Be 2.47
9 As 0.3333 0.6667 0.3937  3 Be 2.47
10 As 0.3333 0.6667 0.9397  3 Be 2.47
11 As 0.6667 0.3333 0.0603  3 Be 2.47
12 As 0.6667 0.3333 0.6063  3 Be 2.47

size of the total moment	0.000	μB/atom
SG	R-3m


x) This record from the Alexandria database describes a relaxed structure of BeHgAs2. The functional is GGA-PBEsol.

a b c (Å): 3.7437 3.7437 10.2941
angles (deg): 90.00 90.00 90.00
With the nearest neighbours (Å) after each atom.
Fractional coordinates of all 8 atoms:
1 Be 0.0000 0.0000 0.0000  4 Hg 2.65
2 Be 0.5000 0.5000 0.5000  4 Hg 2.65
3 Hg 0.0000 0.0000 0.5000  4 Be 2.65
4 Hg 0.5000 0.5000 0.0000  4 Be 2.65
5 As 0.0000 0.5000 0.2500  4 As 2.65
6 As 0.0000 0.5000 0.7500  4 As 2.65
7 As 0.5000 0.0000 0.2500  4 As 2.65
8 As 0.5000 0.0000 0.7500  4 As 2.65

size of the total moment	0.000	μB/atom
SG	I4/mmm


y) This record from the Alexandria database describes a relaxed structure of BeHgAs2. The functional is GGA-PBEsol.

a b c (Å): 2.9001 4.3551 11.0666
angles (deg): 90.00 90.00 90.00
With the nearest neighbours (Å) after each atom.
Fractional coordinates of all 8 atoms:
1 Be 0.0000 0.0000 0.0000  4 As 2.47, 4 Hg 2.62
2 Be 0.5000 0.5000 0.5000  4 As 2.47, 4 Hg 2.62
3 Hg 0.0000 0.0000 0.5000  4 Be 2.62, 2 Hg 2.90
4 Hg 0.5000 0.5000 0.0000  4 Be 2.62, 2 Hg 2.90
5 As 0.0000 0.5000 0.3190  2 Be 2.47
6 As 0.0000 0.5000 0.6810  2 Be 2.47
7 As 0.5000 0.0000 0.1810  2 Be 2.47
8 As 0.5000 0.0000 0.8190  2 Be 2.47

size of the total moment	0.000	μB/atom
SG	Immm


z) This record from the Alexandria database describes a relaxed structure of BeHgAs2. The functional is GGA-PBEsol.

a b c (Å): 7.2993 3.6854 6.1327
angles (deg): 90.00 109.05 90.00
With the nearest neighbours (Å) after each atom.
Fractional coordinates of all 8 atoms:
1 Be 0.0000 0.0000 0.0000  4 As 2.28
2 Be 0.5000 0.5000 0.0000  4 As 2.28
3 Hg 0.0000 0.5000 0.5000  2 As 2.59
4 Hg 0.5000 0.0000 0.5000  2 As 2.59
5 As 0.1636 0.5000 0.1828  2 Be 2.28
6 As 0.3364 0.0000 0.8172  2 Be 2.28
7 As 0.6636 0.0000 0.1828  2 Be 2.28
8 As 0.8364 0.5000 0.8172  2 Be 2.28

size of the total moment	0.000	μB/atom
SG	C2/m


Question: which arrangement is favored energetically? Ranking from most to least stable: z), w), y), x).